Entry 1:
A relaxed structure of ZrHgAsSe2, computed with PBE.

Lattice parameters (Å, degrees): 5.093 5.093 5.121 90.00 90.00 90.00
Fractional positions:
1 As 0.000 0.000 0.500
2 Se 0.000 0.500 0.000
3 Se 0.500 0.000 0.000
4 Hg 0.000 0.000 0.000
5 Zr 0.500 0.500 0.500

Summary:
* calculated volume: 26.57 Å³/atom
* polymorph energy (0 for the lowest one): 0.885 eV/atom
* M_tot: 0.0 Bohr magnetons per cell
* energy relative to the elements, uncorrected: 3.5 eV/f.u.
* electronic total energy: -3.40 eV per atom

***

Entry 2:
A relaxed structure of YGaSi, computed with PBE.

Lattice parameters (Å, degrees): 4.071 4.162 7.644 105.80 105.41 90.00
Fractional positions:
1 Y 0.630 0.883 0.766
2 Y 0.370 0.117 0.234
3 Ga 0.018 0.291 0.583
4 Ga 0.982 0.709 0.417
5 Si 0.208 0.458 0.917
6 Si 0.792 0.542 0.083

Summary:
* calculated volume: 19.96 Å³/atom
* M_tot: 0.0 Bohr magnetons per cell
* energy relative to the elements, uncorrected: -2.0 eV/f.u.
* electronic total energy: -5.63 eV per atom

***

Entry 3:
A relaxed structure of SnPdPtRh, computed with PBE.

Lattice parameters (Å, degrees): 3.957 3.990 4.104 90.00 90.00 90.00
Fractional positions:
1 Sn 0.000 0.000 0.000
2 Pd 0.000 0.500 0.500
3 Pt 0.500 0.000 0.500
4 Rh 0.500 0.500 0.000

Summary:
* calculated volume: 16.20 Å³/atom
* M_tot: 0.0 Bohr magnetons per cell
* electronic total energy: -6.02 eV per atom

***

Entry 4:
A relaxed structure of RbMgOF2, computed with PBE.

Lattice parameters (Å, degrees): 4.817 4.817 4.423 90.00 90.00 90.00
Fractional positions:
1 Mg 0.500 0.500 0.500
2 O 0.000 0.000 0.500
3 Rb 0.000 0.000 0.000
4 F 0.000 0.500 0.000
5 F 0.500 0.000 0.000

Summary:
* calculated volume: 20.53 Å³/atom
* polymorph energy (0 for the lowest one): 1.599 eV/atom
* M_tot: 0.0 Bohr magnetons per cell
* energy relative to the elements, uncorrected: -4.2 eV/f.u.
* electronic total energy: -3.09 eV per atom

***

Question: Which value of electronic total energy does entry 3 give?
Answer: -6.02 eV per atom

***

Question: Which value of electronic total energy does entry 2 give?
Answer: -5.63 eV per atom